Entry 1:
First-principles (PBE) data for a relaxed structure of DyTm5Se6, as listed in Alexandria via LeMat-Bulk.

abc: 6.9485 6.9782 6.9886
angles: 60.05 80.35 70.38
Atoms (fractional coordinates):
Tm (0.5000, 0.8368, 0.3263)
Se (0.7473, 0.0839, 0.3380)
Tm (0.5000, 0.5000, 0.0000)
Se (0.7498, 0.7461, 0.0000)
Se (0.7473, 0.4218, 0.6620)
Se (0.2527, 0.9161, 0.6620)
Tm (0.0000, 0.3342, 0.3316)
Dy (0.0000, 0.0000, 0.0000)
Tm (0.0000, 0.6658, 0.6684)
Se (0.2502, 0.2539, 0.0000)
Se (0.2527, 0.5782, 0.3380)
Tm (0.5000, 0.1632, 0.6737)

Values from the calculation:
As for the uncorrected energy: -5.663 eV/atom. Its space group is No. 12. Its calculated volume is 276.57 Å³/cell. Its total magnetic moment is 0.00 μB/f.u. The density of states at the Fermi level is 4.8 states/eV per cell.

---

Entry 2:
First-principles (PBE) data for a relaxed structure of DyTm6Se8, as listed in Alexandria via LeMat-Bulk.

abc: 8.0110 8.0110 8.0110
angles: 60.00 60.00 60.00
Atoms (fractional coordinates):
Tm (0.5000, 0.0000, 0.5000)
Se (0.7439, 0.2561, 0.2561)
Se (0.2561, 0.7439, 0.7439)
Tm (0.5000, 0.5000, 0.0000)
Dy (0.0000, 0.0000, 0.0000)
Se (0.2561, 0.7439, 0.2561)
Se (0.2500, 0.2500, 0.2500)
Tm (0.0000, 0.5000, 0.5000)
Tm (0.5000, 0.0000, 0.0000)
Tm (0.0000, 0.5000, 0.0000)
Se (0.7500, 0.7500, 0.7500)
Se (0.2561, 0.2561, 0.7439)
Tm (0.0000, 0.0000, 0.5000)
Se (0.7439, 0.7439, 0.2561)
Se (0.7439, 0.2561, 0.7439)

Values from the calculation:
As for the uncorrected energy: -5.728 eV/atom. Its space group is No. 225. Its calculated volume is 363.53 Å³/cell. Its total magnetic moment is 0.00 μB/f.u. The density of states at the Fermi level is 5.8 states/eV per cell.

---

Entry 3:
First-principles (PBE) data for a relaxed structure of Dy2YTm3Se6, as listed in Alexandria via LeMat-Bulk.

abc: 4.0319 8.1366 9.0614
angles: 103.62 102.85 90.00
Atoms (fractional coordinates):
Se (0.6653, 0.5865, 0.3306)
Tm (0.8336, 0.1671, 0.6672)
Y (0.5000, 0.0000, 0.0000)
Tm (0.1664, 0.8329, 0.3328)
Tm (0.5000, 0.5000, 0.0000)
Se (0.9989, 0.2542, 0.9978)
Dy (0.8332, 0.6666, 0.6664)
Se (0.6683, 0.0800, 0.3366)
Se (0.0011, 0.7458, 0.0022)
Se (0.3317, 0.9200, 0.6634)
Se (0.3347, 0.4135, 0.6694)
Dy (0.1668, 0.3334, 0.3336)

Values from the calculation:
As for the uncorrected energy: -5.873 eV/atom. Its space group is No. 12. Its calculated volume is 281.24 Å³/cell. Its total magnetic moment is 0.00 μB/f.u. The density of states at the Fermi level is 5.5 states/eV per cell.

---

Entry 4:
First-principles (PBE) data for a relaxed structure of Dy2YTmSe4, as listed in Alexandria via LeMat-Bulk.

abc: 4.0145 7.0516 7.0813
angles: 71.13 90.00 90.00
Atoms (fractional coordinates):
Tm (0.0000, 0.5000, 0.5000)
Se (0.5000, 0.7464, 0.2544)
Se (0.0000, 0.2512, 0.2528)
Dy (0.5000, 0.0000, 0.5000)
Dy (0.0000, 0.0000, 0.0000)
Y (0.5000, 0.5000, 0.0000)
Se (0.0000, 0.7488, 0.7472)
Se (0.5000, 0.2536, 0.7456)

Values from the calculation:
As for the uncorrected energy: -5.987 eV/atom. Its space group is No. 10. Its calculated volume is 189.69 Å³/cell. Its total magnetic moment is 0.00 μB/f.u. The density of states at the Fermi level is 4.7 states/eV per cell.